w:
The following is a GGA-PBE calculation of Li2ZnGa2 after structural relaxation, from Alexandria.

Properties
Space-group type: C2/m (12)
DOS(E_F), states/eV per atom: 0.25

Geometry as POSCAR:
```
Li2ZnGa2
1.0
4.786 -2.158 0.000
4.786 2.158 0.000
-2.665 0.000 8.278
Li Zn Ga
4 2 4
direct
0.063 0.063 0.366 Li
0.167 0.167 0.074 Li
0.833 0.833 0.926 Li
0.937 0.937 0.634 Li
0.264 0.264 0.687 Zn
0.736 0.736 0.313 Zn
0.375 0.375 0.386 Ga
0.472 0.472 0.133 Ga
0.528 0.528 0.867 Ga
0.625 0.625 0.614 Ga
```



x:
The following is a GGA-PBE calculation of Li2ZnGa2 after structural relaxation, from Alexandria.

Properties
Space-group type: P4/mbm (127)
DOS(E_F), states/eV per atom: 0.36

Geometry as POSCAR:
```
Li2ZnGa2
1.0
6.778 0.000 0.000
0.000 6.778 0.000
0.000 0.000 3.630
Li Zn Ga
4 2 4
direct
0.163 0.337 0.000 Li
0.337 0.837 0.000 Li
0.663 0.163 0.000 Li
0.837 0.663 0.000 Li
0.000 0.000 0.500 Zn
0.500 0.500 0.500 Zn
0.137 0.637 0.500 Ga
0.363 0.137 0.500 Ga
0.637 0.863 0.500 Ga
0.863 0.363 0.500 Ga
```



It is x that is the least stable of them.